1.
K2RbTlRh | Alexandria via LeMat-Bulk | PBE | optimized geometry; total magnetization = 0.00 μB per cell; formation energy from the elements = 89 kJ/mol of formula units
1.0
6.231 0.000 0.000
0.000 6.231 0.000
0.000 0.000 5.387
K Rh Tl Rb
2 1 1 1
Direct
0.000 0.500 0.000
0.500 0.000 0.000
0.000 0.000 0.000
0.000 0.000 0.500
0.500 0.500 0.500

***

2.
Nd2PaReN6 | Alexandria via LeMat-Bulk | PBE | optimized geometry; total magnetization = 0.00 μB per cell; formation energy (no corrections) = -0.94 eV per atom
1.0
-1.152 0.907 -5.609
-1.345 -5.712 -0.648
-7.806 1.611 2.008
Nd N Pa Re
4 12 2 2
Direct
0.514 0.549 0.749
0.014 0.951 0.249
0.486 0.451 0.251
0.986 0.049 0.751
0.229 0.195 0.448
0.098 0.474 0.770
0.271 0.695 0.052
0.729 0.305 0.948
0.771 0.805 0.552
0.802 0.784 0.946
0.402 0.974 0.730
0.302 0.716 0.446
0.198 0.216 0.054
0.698 0.284 0.554
0.902 0.526 0.230
0.598 0.026 0.270
0.500 0.000 0.000
0.000 0.500 0.500
0.500 0.000 0.500
0.000 0.500 0.000

***

3.
ReAgBr2 | Alexandria via LeMat-Bulk | PBE | optimized geometry; total magnetization = 0.00 μB per cell; formation energy (no corrections) = 0.69 eV per atom; offset from the most stable computed form = 0.252 eV/atom
1.0
-1.913 2.586 -0.441
1.124 -1.863 -2.410
-8.590 -6.218 0.800
Ag Re Br
1 1 2
Direct
0.500 0.500 0.750
0.500 0.500 0.250
0.000 0.000 0.441
0.000 0.000 0.059

***

4.
Tl3Sn2Hg9 | Alexandria via LeMat-Bulk | PBE | optimized geometry; total magnetization = 0.00 μB per cell; formation energy from the elements = 45 kJ/mol of formula units
1.0
5.553 -0.168 1.304
1.366 8.147 3.351
-0.186 0.054 8.912
Sn Hg Tl
2 9 3
Direct
0.500 0.656 0.344
0.500 0.344 0.656
0.000 0.500 0.500
0.318 0.006 0.298
0.682 0.702 0.994
0.827 0.863 0.425
0.682 0.994 0.702
0.173 0.575 0.137
0.173 0.137 0.575
0.318 0.298 0.006
0.827 0.425 0.863
0.254 0.720 0.720
0.746 0.280 0.280
0.000 0.000 0.000

***

5.
ReNi7Pt4 | Alexandria via LeMat-Bulk | PBE | optimized geometry; total magnetization = 3.45 μB per cell; formation energy from the elements = 111 kJ/mol of formula units
1.0
4.520 1.047 0.413
3.668 7.703 1.133
-0.688 0.721 5.226
Ni Re Pt
7 1 4
Direct
0.203 0.037 0.574
0.139 0.663 0.208
0.861 0.337 0.792
0.831 0.363 0.288
0.500 0.000 0.000
0.797 0.963 0.426
0.169 0.637 0.712
0.000 0.000 0.000
0.627 0.674 0.915
0.373 0.326 0.085
0.415 0.288 0.592
0.585 0.712 0.408

***

6.
PmPr7Dy2 | Alexandria via LeMat-Bulk | PBE | optimized geometry; total magnetization = 0.00 μB per cell; offset from the most stable computed form = 0.000 eV/atom; formation energy from the elements = 172 kJ/mol of formula units
1.0
-2.690 0.659 2.109
-9.280 1.378 -12.268
7.064 -7.656 11.403
Pm Pr Dy
1 7 2
Direct
0.000 0.000 0.000
0.500 0.345 0.143
0.000 0.692 0.308
0.000 0.308 0.692
0.500 0.500 0.500
0.500 0.143 0.345
0.500 0.655 0.857
0.500 0.857 0.655
0.500 0.206 0.794
0.500 0.794 0.206

***

7.
K2TcRu | Alexandria via LeMat-Bulk | PBE | optimized geometry; total magnetization = 0.00 μB per cell; offset from the most stable computed form = 0.590 eV/atom; formation energy from the elements = 508 kJ/mol of formula units
1.0
5.758 0.000 0.000
0.000 3.780 0.000
0.000 0.000 3.780
K Tc Ru
2 1 1
Direct
0.000 0.000 0.000
0.000 0.500 0.500
0.500 0.000 0.500
0.500 0.500 0.000

***

8.
PrTmTlIr | Alexandria via LeMat-Bulk | PBE | optimized geometry; total magnetization = 0.00 μB per cell; formation energy from the elements = -153 kJ/mol of formula units
1.0
-4.996 0.703 1.150
-3.496 0.399 -3.793
-3.400 -3.818 -0.797
Tl Pr Ir Tm
1 1 1 1
Direct
0.500 0.500 0.500
0.250 0.250 0.250
0.000 0.000 0.000
0.750 0.750 0.750